VASP calculation (PBE) on an optimized crystal structure of LaTl3Ga.

a b c (Å): 5.3906 5.3906 5.3906
angles (deg): 90.00 90.00 90.00
Closest atoms and distances in Å follow each position.
Fractional coordinates of all 5 atoms:
Tl (0.0000, 0.5000, 0.0000)  2 Ga 2.70
Tl (0.0000, 0.0000, 0.5000)  2 Ga 2.70
Tl (0.5000, 0.0000, 0.0000)  2 Ga 2.70
Ga (0.0000, 0.0000, 0.0000)  6 Tl 2.70
La (0.5000, 0.5000, 0.5000)  12 Tl 3.81

Computed properties:
- DFT total energy (eV/atom) = -2.928
- polymorph energy (0 for the lowest one) (eV/f.u.) = 0.00
- formation enthalpy at 0 K (eV per formula unit) = 0.416
- N(E_F) (states/eV/cell) = 3.7
- calculated volume (Å³/cell) = 156.64
- size of the total moment (μB per cell) = 0.00